DFT (GGA-PBE) results for Dy2SiW after structural relaxation.

Properties
Formation energy (no corrections), eV/atom: 0.61
Theoretical density, g/cm3: 10.25
N(E_F), states/eV/atom: 0.69

Unit cell a=3.116 b=3.116 c=10.502 alpha=81.47 beta=81.47 gamma=60.00
Fractional positions:
1 Si 0.500 0.500 0.500
2 W 0.000 0.000 0.000
3 Dy 0.092 0.092 0.725
4 Dy 0.908 0.908 0.275

---

DFT (GGA-PBE) results for DyYSi3 after structural relaxation.

Properties
Formation energy (no corrections), eV/atom: -0.68
Theoretical density, g/cm3: 5.56
N(E_F), states/eV/atom: 0.35

Unit cell a=3.947 b=4.136 c=12.446 alpha=99.56 beta=90.00 gamma=90.00
Fractional positions:
1 Dy 0.250 0.797 0.595
2 Dy 0.750 0.203 0.405
3 Y 0.250 0.070 0.139
4 Y 0.750 0.930 0.861
5 Si 0.250 0.381 0.761
6 Si 0.750 0.619 0.239
7 Si 0.250 0.475 0.950
8 Si 0.750 0.525 0.050
9 Si 0.750 0.322 0.645
10 Si 0.250 0.678 0.355

---

DFT (GGA-PBE) results for Dy2Y3Si4 after structural relaxation.

Properties
Formation energy (no corrections), eV/atom: -0.76
Theoretical density, g/cm3: 5.58
N(E_F), states/eV/atom: 0.93

Unit cell a=7.420 b=7.645 c=7.700 alpha=90.00 beta=90.00 gamma=106.30
Fractional positions:
1 Dy 0.589 0.200 0.318
2 Dy 0.911 0.800 0.818
3 Dy 0.411 0.800 0.682
4 Dy 0.089 0.200 0.182
5 Y 0.000 0.500 0.500
6 Y 0.500 0.500 0.000
7 Y 0.754 0.242 0.819
8 Y 0.746 0.758 0.319
9 Y 0.246 0.758 0.181
10 Y 0.254 0.242 0.681
11 Si 0.878 0.081 0.527
12 Si 0.622 0.919 0.027
13 Si 0.122 0.919 0.473
14 Si 0.378 0.081 0.973
15 Si 0.877 0.489 0.120
16 Si 0.623 0.511 0.620
17 Si 0.123 0.511 0.880
18 Si 0.377 0.489 0.380

---

DFT (GGA-PBE) results for DyY2Si6 after structural relaxation.

Properties
Formation energy (no corrections), eV/atom: -0.53
Theoretical density, g/cm3: 4.90
N(E_F), states/eV/atom: 0.58

Unit cell a=3.953 b=7.098 c=7.098 alpha=120.00 beta=90.00 gamma=90.00
Fractional positions:
1 Dy 0.000 0.000 0.000
2 Y 0.000 0.333 0.667
3 Y 0.000 0.667 0.333
4 Si 0.500 0.333 0.333
5 Si 0.500 0.667 0.667
6 Si 0.500 0.000 0.667
7 Si 0.500 0.667 0.000
8 Si 0.500 0.333 0.000
9 Si 0.500 0.000 0.333

---

DFT (GGA-PBE) results for Dy2YSi after structural relaxation.

Properties
Formation energy (no corrections), eV/atom: 0.02
Theoretical density, g/cm3: 6.16
N(E_F), states/eV/atom: 1.03

Unit cell a=3.581 b=3.581 c=10.926 alpha=80.57 beta=80.57 gamma=60.00
Site moments in Bohr magnetons follow the coordinates.
Fractional positions:
1 Y 0.000 0.000 0.000  0.33
2 Si 0.500 0.500 0.500  0.00
3 Dy 0.106 0.106 0.681  0.07
4 Dy 0.894 0.894 0.319  0.07

---

DFT (GGA-PBE) results for Dy3Y2Si4 after structural relaxation.

Properties
Formation energy (no corrections), eV/atom: -0.76
Theoretical density, g/cm3: 6.17
N(E_F), states/eV/atom: 0.93

Unit cell a=7.427 b=7.638 c=7.693 alpha=90.00 beta=90.00 gamma=106.29
Fractional positions:
1 Dy 0.000 0.500 0.500
2 Dy 0.500 0.500 0.000
3 Dy 0.754 0.243 0.818
4 Dy 0.746 0.757 0.318
5 Dy 0.246 0.757 0.182
6 Dy 0.254 0.243 0.682
7 Y 0.589 0.201 0.318
8 Y 0.911 0.799 0.818
9 Y 0.411 0.799 0.682
10 Y 0.089 0.201 0.182
11 Si 0.878 0.081 0.528
12 Si 0.622 0.919 0.028
13 Si 0.122 0.919 0.472
14 Si 0.378 0.081 0.972
15 Si 0.878 0.490 0.120
16 Si 0.622 0.510 0.620
17 Si 0.122 0.510 0.880
18 Si 0.378 0.490 0.380

---

DFT (GGA-PBE) results for Dy4YSi4 after structural relaxation.

Properties
Formation energy (no corrections), eV/atom: -0.49
Theoretical density, g/cm3: 6.08
N(E_F), states/eV/atom: 0.97

Unit cell a=5.772 b=8.974 c=8.974 alpha=90.00 beta=90.00 gamma=90.00
Fractional positions:
1 Dy 0.375 0.329 0.907
2 Dy 0.875 0.593 0.829
3 Dy 0.375 0.671 0.093
4 Dy 0.125 0.171 0.593
5 Dy 0.625 0.907 0.671
6 Dy 0.125 0.829 0.407
7 Dy 0.875 0.407 0.171
8 Dy 0.625 0.093 0.329
9 Y 0.000 0.000 0.000
10 Y 0.500 0.500 0.500
11 Si 0.628 0.773 0.362
12 Si 0.628 0.227 0.638
13 Si 0.128 0.862 0.727
14 Si 0.872 0.273 0.862
15 Si 0.872 0.727 0.138
16 Si 0.372 0.362 0.227
17 Si 0.372 0.638 0.773
18 Si 0.128 0.138 0.273

---

DFT (GGA-PBE) results for Dy2YSi6 after structural relaxation.

Properties
Formation energy (no corrections), eV/atom: -0.53
Theoretical density, g/cm3: 5.62
N(E_F), states/eV/atom: 0.59

Unit cell a=3.947 b=7.094 c=7.094 alpha=120.00 beta=90.00 gamma=90.00
Fractional positions:
1 Dy 0.000 0.333 0.667
2 Dy 0.000 0.667 0.333
3 Y 0.000 0.000 0.000
4 Si 0.500 0.333 0.333
5 Si 0.500 0.667 0.667
6 Si 0.500 0.000 0.667
7 Si 0.500 0.667 0.000
8 Si 0.500 0.333 0.000
9 Si 0.500 0.000 0.333